Density functional theory data (PBE-GGA) for a geometry-optimized TbPr2Zn2 structure.

Geometry as CIF:
```
data_TbPr2Zn2
_cell_length_a 3.7020
_cell_length_b 20.3228
_cell_length_c 3.5983
_cell_angle_alpha 90.00
_cell_angle_beta 90.00
_cell_angle_gamma 90.00
_space_group_name_H-M_alt 'C m m m'
_space_group_IT_number 65
_space_group_name_Hall '-C 2 2'
loop_
_atom_site_label
_atom_site_fract_x
_atom_site_fract_y
_atom_site_fract_z
Tb1 0.0000 0.0000 0.0000
Pr1 0.0000 0.1743 0.0000
Zn1 0.0000 0.4184 0.5000
```

Distance to the lowest polymorph of the same formula: 0.000 eV/atom
Formation energy: -0.99 eV/f.u.
DOS at the Fermi energy: 6.3 states/eV/f.u.